No. 1
A plane-wave DFT calculation with PBE was carried out for a relaxed structure of LiAl2P.

Cell lengths 3.8256, 3.8256, 4.2829 Å; angles 90.00, 90.00, 90.00 degrees
With the nearest neighbours (Å) after each atom.
Element x y z (fractional)
Li: 0.0000 0.0000 0.0000  4 P 2.71, 8 Al 2.87
Al: 0.0000 0.5000 0.5000  4 Al 2.71, 4 Li 2.87, 4 P 2.87
Al: 0.5000 0.0000 0.5000  4 Al 2.71, 4 Li 2.87, 4 P 2.87
P: 0.5000 0.5000 0.0000  4 Li 2.71, 8 Al 2.87

ΔH_f (0 K) in eV per atom: -0.1144
SG: P4/mmm (123)
Density in kg/m3: 2434
Crystal system: tetragonal



No. 2
A plane-wave DFT calculation with PBE was carried out for a relaxed structure of Li2AlP.

Cell lengths 2.6462, 4.0376, 5.4796 Å; angles 90.00, 90.60, 90.00 degrees
With the nearest neighbours (Å) after each atom.
Element x y z (fractional)
Li: 0.0048 0.0000 0.2686  3 Li 2.54-2.65, 4 P 2.71-2.74, 4 Al 2.83
Li: 0.9952 0.0000 0.7314  3 Li 2.54-2.65, 4 P 2.71-2.74, 4 Al 2.83
Al: 0.5000 0.5000 0.0000  2 Al 2.65, 2 P 2.74, 8 Li 2.83
P: 0.5000 0.5000 0.5000  2 P 2.65, 8 Li 2.71-2.74, 2 Al 2.74

ΔH_f (0 K) in eV per atom: -0.3039
SG: P2/m (10)
Density in kg/m3: 2038
Crystal system: monoclinic



No. 3
A plane-wave DFT calculation with PBE was carried out for a relaxed structure of Li4AlP.

Cell lengths 5.0689, 5.0689, 5.0689 Å; angles 60.00, 60.00, 60.00 degrees
With the nearest neighbours (Å) after each atom.
Element x y z (fractional)
Li: 0.1247 0.1247 0.1247  6 Li 2.53-2.54
Li: 0.1247 0.1247 0.6258  6 Li 2.53-2.54
Li: 0.1247 0.6258 0.1247  6 Li 2.53-2.54
Li: 0.6258 0.1247 0.1247  6 Li 2.53-2.54
Al: 0.5000 0.5000 0.5000  12 Li 2.97, 4 P 3.10
P: 0.7500 0.7500 0.7500  12 Li 2.97, 4 Al 3.10

ΔH_f (0 K) in eV per atom: 0.0532
SG: F-43m (216)
Density in kg/m3: 1546
Crystal system: cubic



No. 4
A plane-wave DFT calculation with PBE was carried out for a relaxed structure of Li2AlP.

Cell lengths 4.9744, 4.9744, 4.9744 Å; angles 136.23, 136.23, 63.62 degrees
With the nearest neighbours (Å) after each atom.
Element x y z (fractional)
Li: 0.2500 0.7500 0.5000  4 Li 2.62, 4 P 2.81, 4 Al 2.81
Li: 0.7500 0.2500 0.5000  4 Li 2.62, 4 P 2.81, 4 Al 2.81
Al: 0.0000 0.0000 0.0000  4 P 2.62, 8 Li 2.81
P: 0.5000 0.5000 0.0000  4 Al 2.62, 8 Li 2.81

ΔH_f (0 K) in eV per atom: -0.3116
SG: I4/mmm (139)
Density in kg/m3: 2052
Crystal system: tetragonal